No. 1
! PBE-GGA MnCoAs2, optimized geometry; values from VASP
&SYSTEM
  ibrav = 0, nat = 4, ntyp = 3
/
ATOMIC_SPECIES
Mn 54.94 Mn.upf
Co 58.93 Co.upf
As 74.92 As.upf
CELL_PARAMETERS angstrom
3.352 0.000 0.000
0.000 3.352 0.000
0.000 0.000 4.997
ATOMIC_POSITIONS crystal
Mn 0.000 0.000 0.000
Co 0.500 0.500 0.659
As 0.000 0.000 0.519
As 0.500 0.500 0.145
! Distance to the lowest polymorph of the same formula   0.00 kcal/mol of atoms
! D(E_F)   0.385 states/eV per atom
! Energy relative to the elements   -0.11 eV per atom


No. 2
! PBE-GGA Ca6Tl2Pb, optimized geometry; values from VASP
&SYSTEM
  ibrav = 0, nat = 18, ntyp = 3
/
ATOMIC_SPECIES
Ca 40.08 Ca.upf
Tl 204.38 Tl.upf
Pb 207.20 Pb.upf
CELL_PARAMETERS angstrom
10.589 0.000 0.000
0.000 10.589 0.000
0.000 0.000 5.407
ATOMIC_POSITIONS crystal
Ca 0.041 0.306 0.000
Ca 0.118 0.882 0.500
Ca 0.194 0.541 0.500
Ca 0.306 0.041 0.000
Ca 0.382 0.382 0.000
Ca 0.459 0.806 0.500
Ca 0.541 0.194 0.500
Ca 0.618 0.618 0.000
Ca 0.694 0.959 0.000
Ca 0.806 0.459 0.500
Ca 0.882 0.118 0.500
Ca 0.959 0.694 0.000
Tl 0.228 0.228 0.500
Tl 0.272 0.728 0.000
Tl 0.728 0.272 0.000
Tl 0.772 0.772 0.500
Pb 0.000 0.000 0.000
Pb 0.500 0.500 0.500
! D(E_F)   0.721 states/eV per atom
! Energy relative to the elements   -0.34 eV per atom


No. 3
! PBE-GGA Cs2I4O11, optimized geometry; values from VASP
&SYSTEM
  ibrav = 0, nat = 34, ntyp = 3
/
ATOMIC_SPECIES
Cs 132.91 Cs.upf
I 126.90 I.upf
O 16.00 O.upf
CELL_PARAMETERS angstrom
7.428 0.000 0.000
-3.714 6.433 0.000
0.000 0.000 14.017
ATOMIC_POSITIONS crystal
Cs 0.333 0.667 0.000
Cs 0.333 0.667 0.373
Cs 0.667 0.333 0.500
Cs 0.667 0.333 0.873
I 0.000 0.000 0.424
I 0.000 0.000 0.924
I 0.145 0.811 0.676
I 0.189 0.333 0.676
I 0.333 0.145 0.176
I 0.667 0.855 0.676
I 0.811 0.667 0.176
I 0.855 0.189 0.176
O 0.000 0.000 0.169
O 0.000 0.000 0.669
O 0.056 0.667 0.183
O 0.089 0.837 0.864
O 0.115 0.766 0.548
O 0.163 0.252 0.864
O 0.234 0.349 0.548
O 0.252 0.089 0.364
O 0.333 0.389 0.183
O 0.333 0.667 0.696
O 0.349 0.115 0.048
O 0.389 0.056 0.683
O 0.611 0.944 0.183
O 0.651 0.885 0.548
O 0.667 0.333 0.196
O 0.667 0.611 0.683
O 0.748 0.911 0.864
O 0.766 0.651 0.048
O 0.837 0.748 0.364
O 0.885 0.234 0.048
O 0.911 0.163 0.364
O 0.944 0.333 0.683
! Distance to the lowest polymorph of the same formula   0.18 kcal/mol of atoms
! D(E_F)   0.000 states/eV per atom
! Formation energy without anion corrections   -0.6894 eV per atom


No. 4
! PBE-GGA CdTc, optimized geometry; values from VASP
&SYSTEM
  ibrav = 0, nat = 4, ntyp = 2
/
ATOMIC_SPECIES
Cd 112.41 Cd.upf
Tc 98.00 Tc.upf
CELL_PARAMETERS angstrom
2.819 0.000 0.000
0.000 4.574 0.000
0.000 0.000 5.307
ATOMIC_POSITIONS crystal
Cd 0.250 0.250 0.093
Cd 0.750 0.750 0.907
Tc 0.250 0.750 0.426
Tc 0.750 0.250 0.574
! Distance to the lowest polymorph of the same formula   8.30 kcal/mol of atoms
! D(E_F)   0.828 states/eV per atom
! Energy relative to the elements   0.47 eV per atom


No. 5
! PBE-GGA LiInCo4, optimized geometry; values from VASP
&SYSTEM
  ibrav = 0, nat = 6, ntyp = 3
/
ATOMIC_SPECIES
Li 6.94 Li.upf
In 114.82 In.upf
Co 58.93 Co.upf
CELL_PARAMETERS angstrom
0.000 3.416 3.416
3.416 0.000 3.416
3.416 3.416 0.000
ATOMIC_POSITIONS crystal
Li 0.000 0.000 0.000
In 0.250 0.250 0.250
Co 0.124 0.625 0.625
Co 0.625 0.124 0.625
Co 0.625 0.625 0.124
Co 0.625 0.625 0.625
! D(E_F)   0.928 states/eV per atom
! Energy relative to the elements   0.07 eV per atom


No. 6
! PBE-GGA TcAs2Se, optimized geometry; values from VASP
&SYSTEM
  ibrav = 0, nat = 4, ntyp = 3
/
ATOMIC_SPECIES
Tc 98.00 Tc.upf
As 74.92 As.upf
Se 78.96 Se.upf
CELL_PARAMETERS angstrom
2.776 -3.829 0.000
2.776 3.829 0.000
0.000 0.000 3.236
ATOMIC_POSITIONS crystal
Tc 0.000 0.000 0.000
As 0.000 0.500 0.500
As 0.500 0.000 0.500
Se 0.500 0.500 0.000
! Distance to the lowest polymorph of the same formula   12.26 kcal/mol of atoms
! D(E_F)   0.953 states/eV per atom
! Formation energy without anion corrections   0.5014 eV per atom


No. 7
! PBE-GGA Li6PIr2, optimized geometry; values from VASP
&SYSTEM
  ibrav = 0, nat = 9, ntyp = 3
/
ATOMIC_SPECIES
Li 6.94 Li.upf
P 30.97 P.upf
Ir 192.22 Ir.upf
CELL_PARAMETERS angstrom
3.749 2.164 2.401
-3.749 2.164 2.401
0.000 -4.329 2.401
ATOMIC_POSITIONS crystal
Li 0.000 0.330 0.670
Li 0.000 0.670 0.330
Li 0.330 0.000 0.670
Li 0.330 0.670 0.000
Li 0.670 0.000 0.330
Li 0.670 0.330 0.000
P 0.500 0.500 0.500
Ir 0.176 0.176 0.176
Ir 0.824 0.824 0.824
! D(E_F)   0.202 states/eV per atom
! Energy relative to the elements   -0.38 eV per atom


No. 8
! PBE-GGA Li3Ga2Ir, optimized geometry; values from VASP
&SYSTEM
  ibrav = 0, nat = 12, ntyp = 3
/
ATOMIC_SPECIES
Li 6.94 Li.upf
Ga 69.72 Ga.upf
Ir 192.22 Ir.upf
CELL_PARAMETERS angstrom
2.703 -4.162 0.000
2.703 4.162 0.000
-0.528 0.000 7.468
ATOMIC_POSITIONS crystal
Li 0.065 0.326 0.588
Li 0.118 0.882 0.750
Li 0.326 0.065 0.088
Li 0.674 0.935 0.912
Li 0.882 0.118 0.250
Li 0.935 0.674 0.412
Ga 0.188 0.427 0.921
Ga 0.427 0.188 0.421
Ga 0.573 0.812 0.579
Ga 0.812 0.573 0.079
Ir 0.384 0.616 0.250
Ir 0.616 0.384 0.750
! D(E_F)   0.423 states/eV per atom
! Energy relative to the elements   -0.34 eV per atom


No. 9
! PBE-GGA Ce3HgAu2, optimized geometry; values from VASP
&SYSTEM
  ibrav = 0, nat = 12, ntyp = 3
/
ATOMIC_SPECIES
Ce 140.12 Ce.upf
Hg 200.59 Hg.upf
Au 196.97 Au.upf
CELL_PARAMETERS angstrom
3.835 2.214 6.967
-3.835 2.214 6.967
0.000 -4.428 6.967
ATOMIC_POSITIONS crystal
Ce 0.047 0.750 0.453
Ce 0.250 0.547 0.953
Ce 0.453 0.047 0.750
Ce 0.547 0.953 0.250
Ce 0.750 0.453 0.047
Ce 0.953 0.250 0.547
Hg 0.000 0.000 0.000
Hg 0.500 0.500 0.500
Au 0.151 0.151 0.151
Au 0.349 0.349 0.349
Au 0.651 0.651 0.651
Au 0.849 0.849 0.849
! Distance to the lowest polymorph of the same formula   3.12 kcal/mol of atoms
! D(E_F)   3.803 states/eV per atom
! Energy relative to the elements   -0.36 eV per atom


No. 10
! PBE-GGA HoAlAgIr, optimized geometry; values from VASP
&SYSTEM
  ibrav = 0, nat = 4, ntyp = 4
/
ATOMIC_SPECIES
Ho 164.93 Ho.upf
Al 26.98 Al.upf
Ag 107.87 Ag.upf
Ir 192.22 Ir.upf
CELL_PARAMETERS angstrom
0.000 3.316 3.316
3.316 0.000 3.316
3.316 3.316 0.000
ATOMIC_POSITIONS crystal
Ho 0.000 0.000 0.000
Al 0.500 0.500 0.500
Ag 0.750 0.750 0.750
Ir 0.250 0.250 0.250
! D(E_F)   0.636 states/eV per atom
! Energy relative to the elements   -0.49 eV per atom


No. 11
! PBE-GGA PmDyCd6, optimized geometry; values from VASP
&SYSTEM
  ibrav = 0, nat = 8, ntyp = 3
/
ATOMIC_SPECIES
Pm 145.00 Pm.upf
Dy 162.50 Dy.upf
Cd 112.41 Cd.upf
CELL_PARAMETERS angstrom
4.916 0.000 0.000
0.000 3.580 5.529
0.000 -3.580 5.529
ATOMIC_POSITIONS crystal
Pm 0.000 0.000 0.000
Dy 0.500 0.723 0.723
Cd 0.000 0.050 0.486
Cd 0.000 0.486 0.050
Cd 0.000 0.536 0.536
Cd 0.500 0.191 0.191
Cd 0.500 0.239 0.669
Cd 0.500 0.669 0.239
! D(E_F)   0.479 states/eV per atom
! Energy relative to the elements   -0.29 eV per atom


No. 12
! PBE-GGA TaBe2Al, optimized geometry; values from VASP
&SYSTEM
  ibrav = 0, nat = 4, ntyp = 3
/
ATOMIC_SPECIES
Ta 180.95 Ta.upf
Be 9.01 Be.upf
Al 26.98 Al.upf
CELL_PARAMETERS angstrom
0.000 2.984 2.984
2.984 0.000 2.984
2.984 2.984 0.000
ATOMIC_POSITIONS crystal
Ta 0.000 0.000 0.000
Be 0.250 0.250 0.250
Be 0.500 0.500 0.500
Al 0.750 0.750 0.750
! D(E_F)   0.840 states/eV per atom
! Energy relative to the elements   0.41 eV per atom